The following is a DFT calculation (PBE) of a relaxed structure of Ca2PtAu.

Summary:
**Total magnetic moment**: 0.00 μB/f.u.
**Formation energy from the elements**: -0.661 eV per atom
**Calculated density**: 7.526 g/cm³
**VASP energy**: -3.99 eV per atom
**Density of states at the Fermi level**: 2.388 states/eV/f.u.

Cell lengths 4.0825, 4.2961, 5.9405 Å; angles 90.00, 90.00, 90.00 degrees
Closest atoms and distances in Å follow each position.
Space group Pmm2 (No. 25)
One atom of each set of equivalent atoms:
Ca 0.0000 0.0000 0.0000 [1 per cell]  2 Pt 2.94-3.00, 4 Au 2.98
Ca 0.5000 0.5000 0.4505 [1 per cell]  2 Au 2.94-3.00, 4 Pt 2.98
Pt 0.0000 0.0000 0.4953 [1 per cell]  6 Ca 2.94-3.00
Au 0.5000 0.5000 0.9447 [1 per cell]  6 Ca 2.94-3.00